Record 1
# SmInAu3 (GGA-PBE, relaxed)
# Energy (Ha/atom): -0.1466
data_SmInAu3
_chemical_formula_sum 'Sm2 In2 Au6'
_symmetry_space_group_name_H-M 'P 1 21/m 1'
_symmetry_Int_Tables_number 11
_symmetry_space_group_name_Hall '-P 2yb'
_cell_length_a 4.9183
_cell_length_b 7.4886
_cell_length_c 6.6015
_cell_angle_alpha 90.00
_cell_angle_beta 111.29
_cell_angle_gamma 90.00
loop_
_atom_site_label
_atom_site_type_symbol
_atom_site_fract_x
_atom_site_fract_y
_atom_site_fract_z
_atom_site_occupancy
Sm1 Sm 0.1344 0.2500 0.2618 1
In1 In 0.1417 0.7500 0.2948 1
Au1 Au 0.3243 0.5096 0.6523 1
Au2 Au 0.4960 0.2500 0.9777 1

=====

Record 2
# SmIn3Au (GGA-PBE, relaxed)
# Energy (Ha/atom): -0.1334
data_SmIn3Au
_chemical_formula_sum 'Sm4 In12 Au4'
_symmetry_space_group_name_H-M 'P n m a'
_symmetry_Int_Tables_number 62
_symmetry_space_group_name_Hall '-P 2ac 2n'
_cell_length_a 9.1909
_cell_length_b 4.5796
_cell_length_c 11.7897
_cell_angle_alpha 90.00
_cell_angle_beta 90.00
_cell_angle_gamma 90.00
loop_
_atom_site_label
_atom_site_type_symbol
_atom_site_fract_x
_atom_site_fract_y
_atom_site_fract_z
_atom_site_occupancy
Sm1 Sm 0.1962 0.2500 0.0051 1
In1 In 0.0684 0.2500 0.5947 1
In2 In 0.0967 0.7500 0.8227 1
In3 In 0.1363 0.7500 0.2022 1
Au1 Au 0.1058 0.2500 0.3575 1

=====

Record 3
# Sm5InAu4 (GGA-PBE, relaxed)
# Energy (Ha/atom): -0.1719
data_Sm5InAu4
_chemical_formula_sum 'Sm5 In1 Au4'
_symmetry_space_group_name_H-M 'P 4/m m m'
_symmetry_Int_Tables_number 123
_symmetry_space_group_name_Hall '-P 4 2'
_cell_length_a 3.6668
_cell_length_b 3.6668
_cell_length_c 18.9060
_cell_angle_alpha 90.00
_cell_angle_beta 90.00
_cell_angle_gamma 90.00
loop_
_atom_site_label
_atom_site_type_symbol
_atom_site_fract_x
_atom_site_fract_y
_atom_site_fract_z
_atom_site_occupancy
Sm1 Sm 0.0000 0.0000 0.0000 1
Sm2 Sm 0.0000 0.0000 0.1953 1
Sm3 Sm 0.0000 0.0000 0.3894 1
In1 In 0.5000 0.5000 0.5000 1
Au1 Au 0.5000 0.5000 0.0970 1
Au2 Au 0.5000 0.5000 0.2936 1

=====

Record 4
# SmInAu4 (GGA-PBE, relaxed)
# Offset from the most stable computed form (meV/atom): 42
# Energy (Ha/atom): -0.1421
data_SmInAu4
_chemical_formula_sum 'Sm1 In1 Au4'
_symmetry_space_group_name_H-M 'P -1'
_symmetry_Int_Tables_number 2
_symmetry_space_group_name_Hall '-P 1'
_cell_length_a 3.7406
_cell_length_b 3.7930
_cell_length_c 9.0808
_cell_angle_alpha 87.31
_cell_angle_beta 89.59
_cell_angle_gamma 90.00
loop_
_atom_site_label
_atom_site_type_symbol
_atom_site_fract_x
_atom_site_fract_y
_atom_site_fract_z
_atom_site_occupancy
Sm1 Sm 0.0000 0.0000 0.0000 1
In1 In 0.5000 0.5000 0.5000 1
Au1 Au 0.0035 0.0181 0.6617 1
Au2 Au 0.4966 0.4830 0.1741 1

=====

Record 5
# Sm2In5Au3 (GGA-PBE, relaxed)
# Energy (Ha/atom): -0.1403
data_Sm2In5Au3
_chemical_formula_sum 'Sm8 In20 Au12'
_symmetry_space_group_name_H-M 'C m c 21'
_symmetry_Int_Tables_number 36
_symmetry_space_group_name_Hall 'C 2c -2'
_cell_length_a 4.6202
_cell_length_b 27.1188
_cell_length_c 7.5511
_cell_angle_alpha 90.00
_cell_angle_beta 90.00
_cell_angle_gamma 90.00
loop_
_atom_site_label
_atom_site_type_symbol
_atom_site_fract_x
_atom_site_fract_y
_atom_site_fract_z
_atom_site_occupancy
Sm1 Sm 0.0000 0.0208 0.0000 1
Sm2 Sm 0.0000 0.3261 0.9573 1
In1 In 0.0000 0.1000 0.6384 1
In2 In 0.0000 0.2064 0.7490 1
In3 In 0.0000 0.2073 0.1642 1
In4 In 0.0000 0.3798 0.4915 1
In5 In 0.0000 0.4478 0.8327 1
Au1 Au 0.0000 0.1082 0.2535 1
Au2 Au 0.0000 0.2747 0.4561 1
Au3 Au 0.0000 0.4542 0.2172 1

=====

Record 6
# Sm6In3Au (GGA-PBE, relaxed)
# Energy (Ha/atom): -0.1605
data_Sm6In3Au
_chemical_formula_sum 'Sm12 In6 Au2'
_symmetry_space_group_name_H-M 'P n n m'
_symmetry_Int_Tables_number 58
_symmetry_space_group_name_Hall '-P 2 2n'
_cell_length_a 9.2909
_cell_length_b 12.0899
_cell_length_c 5.3169
_cell_angle_alpha 90.00
_cell_angle_beta 90.00
_cell_angle_gamma 90.00
loop_
_atom_site_label
_atom_site_type_symbol
_atom_site_fract_x
_atom_site_fract_y
_atom_site_fract_z
_atom_site_occupancy
Sm1 Sm 0.0066 0.2429 0.0000 1
Sm2 Sm 0.1622 0.0870 0.5000 1
Sm3 Sm 0.1756 0.4111 0.5000 1
In1 In 0.0000 0.5000 0.0000 1
In2 In 0.1604 0.7297 0.5000 1
Au1 Au 0.0000 0.0000 0.0000 1

=====

Record 7
# SmIn6Au12 (GGA-PBE, relaxed)
# Energy (Ha/atom): -0.1241
data_SmIn6Au12
_chemical_formula_sum 'Sm3 In18 Au36'
_symmetry_space_group_name_H-M 'R -3 m'
_symmetry_Int_Tables_number 166
_symmetry_space_group_name_Hall '-R 3 2"'
_cell_length_a 12.4693
_cell_length_b 12.4693
_cell_length_c 9.2591
_cell_angle_alpha 90.00
_cell_angle_beta 90.00
_cell_angle_gamma 120.00
loop_
_atom_site_label
_atom_site_type_symbol
_atom_site_fract_x
_atom_site_fract_y
_atom_site_fract_z
_atom_site_occupancy
Sm1 Sm 0.0000 0.0000 0.0000 1
In1 In 0.0652 0.5326 0.2373 1
Au1 Au 0.0000 0.3872 0.5000 1
Au2 Au 0.0803 0.1607 0.2668 1

=====

Record 8
# Sm4InAu3 (GGA-PBE, relaxed)
# Energy (Ha/atom): -0.1704
data_Sm4InAu3
_chemical_formula_sum 'Sm12 In3 Au9'
_symmetry_space_group_name_H-M 'R -3 m'
_symmetry_Int_Tables_number 166
_symmetry_space_group_name_Hall '-R 3 2"'
_cell_length_a 5.2363
_cell_length_b 5.2363
_cell_length_c 25.9211
_cell_angle_alpha 90.00
_cell_angle_beta 90.00
_cell_angle_gamma 120.00
loop_
_atom_site_label
_atom_site_type_symbol
_atom_site_fract_x
_atom_site_fract_y
_atom_site_fract_z
_atom_site_occupancy
Sm1 Sm 0.0000 0.0000 0.1192 1
Sm2 Sm 0.0000 0.0000 0.3713 1
In1 In 0.0000 0.0000 0.5000 1
Au1 Au 0.0000 0.0000 0.0000 1
Au2 Au 0.0000 0.0000 0.2397 1

=====

Record 9
# SmIn4Au (GGA-PBE, relaxed)
# Energy (Ha/atom): -0.1261
data_SmIn4Au
_chemical_formula_sum 'Sm4 In16 Au4'
_symmetry_space_group_name_H-M 'C m c 21'
_symmetry_Int_Tables_number 36
_symmetry_space_group_name_Hall 'C 2c -2'
_cell_length_a 4.7755
_cell_length_b 21.1627
_cell_length_c 6.2804
_cell_angle_alpha 90.00
_cell_angle_beta 90.00
_cell_angle_gamma 90.00
loop_
_atom_site_label
_atom_site_type_symbol
_atom_site_fract_x
_atom_site_fract_y
_atom_site_fract_z
_atom_site_occupancy
Sm1 Sm 0.0000 0.1367 0.0000 1
In1 In 0.0000 0.0753 0.4785 1
In2 In 0.0000 0.2657 0.3404 1
In3 In 0.0000 0.3150 0.8483 1
In4 In 0.0000 0.4666 0.6550 1
Au1 Au 0.0000 0.4002 0.2287 1

=====

Record 10
# Sm4In3Au (GGA-PBE, relaxed)
# Energy (Ha/atom): -0.1602
data_Sm4In3Au
_chemical_formula_sum 'Sm4 In3 Au1'
_symmetry_space_group_name_H-M 'P 4/m m m'
_symmetry_Int_Tables_number 123
_symmetry_space_group_name_Hall '-P 4 2'
_cell_length_a 3.6386
_cell_length_b 3.6386
_cell_length_c 16.5033
_cell_angle_alpha 90.00
_cell_angle_beta 90.00
_cell_angle_gamma 90.00
loop_
_atom_site_label
_atom_site_type_symbol
_atom_site_fract_x
_atom_site_fract_y
_atom_site_fract_z
_atom_site_occupancy
Sm1 Sm 0.0000 0.0000 0.1116 1
Sm2 Sm 0.0000 0.0000 0.3707 1
In1 In 0.5000 0.5000 0.2413 1
In2 In 0.5000 0.5000 0.5000 1
Au1 Au 0.5000 0.5000 0.0000 1

=====

Record 11
# Sm8In2Au (GGA-PBE, relaxed)
# Energy (Ha/atom): -0.1662
data_Sm8In2Au
_chemical_formula_sum 'Sm16 In4 Au2'
_symmetry_space_group_name_H-M 'C 1 2/m 1'
_symmetry_Int_Tables_number 12
_symmetry_space_group_name_Hall '-C 2y'
_cell_length_a 19.3212
_cell_length_b 5.2253
_cell_length_c 6.8789
_cell_angle_alpha 90.00
_cell_angle_beta 103.82
_cell_angle_gamma 90.00
loop_
_atom_site_label
_atom_site_type_symbol
_atom_site_fract_x
_atom_site_fract_y
_atom_site_fract_z
_atom_site_occupancy
Sm1 Sm 0.0163 0.0000 0.2722 1
Sm2 Sm 0.0925 0.5000 0.9648 1
Sm3 Sm 0.1526 0.5000 0.4818 1
Sm4 Sm 0.2098 0.0000 0.8069 1
In1 In 0.1834 0.0000 0.2498 1
Au1 Au 0.0000 0.5000 0.5000 1

=====

Record 12
# SmIn2Au4 (GGA-PBE, relaxed)
# Energy (Ha/atom): -0.1376
data_SmIn2Au4
_chemical_formula_sum 'Sm2 In4 Au8'
_symmetry_space_group_name_H-M 'C 1 2/m 1'
_symmetry_Int_Tables_number 12
_symmetry_space_group_name_Hall '-C 2y'
_cell_length_a 8.2404
_cell_length_b 4.7736
_cell_length_c 8.3930
_cell_angle_alpha 90.00
_cell_angle_beta 103.15
_cell_angle_gamma 90.00
loop_
_atom_site_label
_atom_site_type_symbol
_atom_site_fract_x
_atom_site_fract_y
_atom_site_fract_z
_atom_site_occupancy
Sm1 Sm 0.0000 0.0000 0.0000 1
In1 In 0.2319 0.5000 0.2782 1
Au1 Au 0.0969 0.0000 0.3811 1
Au2 Au 0.1235 0.5000 0.8142 1

=====

Record 13
# SmIn2Au2 (GGA-PBE, relaxed)
# Energy (Ha/atom): -0.1427
data_SmIn2Au2
_chemical_formula_sum 'Sm2 In4 Au4'
_symmetry_space_group_name_H-M 'P 1 21/m 1'
_symmetry_Int_Tables_number 11
_symmetry_space_group_name_Hall '-P 2yb'
_cell_length_a 4.9739
_cell_length_b 4.9444
_cell_length_c 9.9939
_cell_angle_alpha 90.00
_cell_angle_beta 90.03
_cell_angle_gamma 90.00
loop_
_atom_site_label
_atom_site_type_symbol
_atom_site_fract_x
_atom_site_fract_y
_atom_site_fract_z
_atom_site_occupancy
Sm1 Sm 0.2493 0.2500 0.3211 1
In1 In 0.2502 0.2500 0.6698 1
In2 In 0.2507 0.2500 0.9864 1
Au1 Au 0.2493 0.7500 0.1494 1
Au2 Au 0.2506 0.7500 0.5151 1

=====

Record 14
# Sm6InAu5 (GGA-PBE, relaxed)
# Energy (Ha/atom): -0.1722
data_Sm6InAu5
_chemical_formula_sum 'Sm12 In2 Au10'
_symmetry_space_group_name_H-M 'C m m m'
_symmetry_Int_Tables_number 65
_symmetry_space_group_name_Hall '-C 2 2'
_cell_length_a 5.1891
_cell_length_b 15.7078
_cell_length_c 7.4630
_cell_angle_alpha 90.00
_cell_angle_beta 90.00
_cell_angle_gamma 90.00
loop_
_atom_site_label
_atom_site_type_symbol
_atom_site_fract_x
_atom_site_fract_y
_atom_site_fract_z
_atom_site_occupancy
Sm1 Sm 0.0000 0.0000 0.2367 1
Sm2 Sm 0.0000 0.3293 0.2488 1
In1 In 0.0000 0.5000 0.5000 1
Au1 Au 0.0000 0.1540 0.5000 1
Au2 Au 0.0000 0.1677 0.0000 1
Au3 Au 0.0000 0.5000 0.0000 1

=====

Record 15
# SmInAu4 (GGA-PBE, relaxed)
# Offset from the most stable computed form (meV/atom): 32
# Energy (Ha/atom): -0.1425
data_SmInAu4
_chemical_formula_sum 'Sm4 In4 Au16'
_symmetry_space_group_name_H-M 'F -4 3 m'
_symmetry_Int_Tables_number 216
_symmetry_space_group_name_Hall 'F -4 2 3'
_cell_length_a 7.9793
_cell_length_b 7.9793
_cell_length_c 7.9793
_cell_angle_alpha 90.00
_cell_angle_beta 90.00
_cell_angle_gamma 90.00
loop_
_atom_site_label
_atom_site_type_symbol
_atom_site_fract_x
_atom_site_fract_y
_atom_site_fract_z
_atom_site_occupancy
Sm1 Sm 0.0000 0.0000 0.0000 1
In1 In 0.2500 0.2500 0.7500 1
Au1 Au 0.1249 0.1249 0.3751 1

=====

Record 16
# Sm2InAu2 (GGA-PBE, relaxed)
# Energy (Ha/atom): -0.1665
data_Sm2InAu2
_chemical_formula_sum 'Sm4 In2 Au4'
_symmetry_space_group_name_H-M 'P 4/m b m'
_symmetry_Int_Tables_number 127
_symmetry_space_group_name_Hall '-P 4 2ab'
_cell_length_a 8.0313
_cell_length_b 8.0313
_cell_length_c 3.8769
_cell_angle_alpha 90.00
_cell_angle_beta 90.00
_cell_angle_gamma 90.00
loop_
_atom_site_label
_atom_site_type_symbol
_atom_site_fract_x
_atom_site_fract_y
_atom_site_fract_z
_atom_site_occupancy
Sm1 Sm 0.1715 0.3285 0.0000 1
In1 In 0.0000 0.0000 0.5000 1
Au1 Au 0.1280 0.6280 0.5000 1

=====

Record 17
# Sm4InAu7 (GGA-PBE, relaxed)
# Energy (Ha/atom): -0.1599
data_Sm4InAu7
_chemical_formula_sum 'Sm8 In2 Au14'
_symmetry_space_group_name_H-M 'C 1 2/m 1'
_symmetry_Int_Tables_number 12
_symmetry_space_group_name_Hall '-C 2y'
_cell_length_a 14.6519
_cell_length_b 5.1806
_cell_length_c 9.1735
_cell_angle_alpha 90.00
_cell_angle_beta 122.64
_cell_angle_gamma 90.00
loop_
_atom_site_label
_atom_site_type_symbol
_atom_site_fract_x
_atom_site_fract_y
_atom_site_fract_z
_atom_site_occupancy
Sm1 Sm 0.0600 0.0000 0.2411 1
Sm2 Sm 0.2345 0.0000 0.7544 1
In1 In 0.0000 0.5000 0.5000 1
Au1 Au 0.0000 0.0000 0.5000 1
Au2 Au 0.0829 0.5000 0.8666 1
Au3 Au 0.1801 0.0000 0.0536 1
Au4 Au 0.1962 0.5000 0.4994 1

=====

Record 18
# Sm2InAu (GGA-PBE, relaxed)
# Energy (Ha/atom): -0.1655
data_Sm2InAu
_chemical_formula_sum 'Sm2 In1 Au1'
_symmetry_space_group_name_H-M 'P 4/m m m'
_symmetry_Int_Tables_number 123
_symmetry_space_group_name_Hall '-P 4 2'
_cell_length_a 3.6753
_cell_length_b 3.6753
_cell_length_c 7.8715
_cell_angle_alpha 90.00
_cell_angle_beta 90.00
_cell_angle_gamma 90.00
loop_
_atom_site_label
_atom_site_type_symbol
_atom_site_fract_x
_atom_site_fract_y
_atom_site_fract_z
_atom_site_occupancy
Sm1 Sm 0.0000 0.0000 0.2313 1
In1 In 0.5000 0.5000 0.5000 1
Au1 Au 0.5000 0.5000 0.0000 1

=====

Record 19
# SmIn3Au3 (GGA-PBE, relaxed)
# Offset from the most stable computed form (meV/atom): 494
# Energy (Ha/atom): -0.1163
data_SmIn3Au3
_chemical_formula_sum 'Sm2 In6 Au6'
_symmetry_space_group_name_H-M 'P m -3 n'
_symmetry_Int_Tables_number 223
_symmetry_space_group_name_Hall '-P 4n 2 3'
_cell_length_a 7.4892
_cell_length_b 7.4892
_cell_length_c 7.4892
_cell_angle_alpha 90.00
_cell_angle_beta 90.00
_cell_angle_gamma 90.00
loop_
_atom_site_label
_atom_site_type_symbol
_atom_site_fract_x
_atom_site_fract_y
_atom_site_fract_z
_atom_site_occupancy
Sm1 Sm 0.0000 0.0000 0.0000 1
In1 In 0.0000 0.2500 0.5000 1
Au1 Au 0.0000 0.5000 0.2500 1

=====

Record 20
# SmIn2Au9 (GGA-PBE, relaxed)
# Energy (Ha/atom): -0.1297
data_SmIn2Au9
_chemical_formula_sum 'Sm3 In6 Au27'
_symmetry_space_group_name_H-M 'R -3 m'
_symmetry_Int_Tables_number 166
_symmetry_space_group_name_Hall '-R 3 2"'
_cell_length_a 5.5882
_cell_length_b 5.5882
_cell_length_c 27.9248
_cell_angle_alpha 90.00
_cell_angle_beta 90.00
_cell_angle_gamma 120.00
loop_
_atom_site_label
_atom_site_type_symbol
_atom_site_fract_x
_atom_site_fract_y
_atom_site_fract_z
_atom_site_occupancy
Sm1 Sm 0.0000 0.0000 0.0000 1
In1 In 0.0000 0.0000 0.1430 1
Au1 Au 0.0000 0.0000 0.3330 1
Au2 Au 0.0000 0.0000 0.5000 1
Au3 Au 0.0029 0.5015 0.9155 1